[1]
Entry from Alexandria: crystalline Pa3Si7Ni2 at its relaxed geometry (PBE).

CIF file:
```
data_Pa3Si7Ni2
_cell_length_a 4.031
_cell_length_b 25.053
_cell_length_c 4.000
_cell_angle_alpha 90.00
_cell_angle_beta 90.00
_cell_angle_gamma 90.00
_space_group_name_H-M_alt 'C m m m'
_space_group_IT_number 65
_space_group_name_Hall '-C 2 2'
loop_
_atom_site_label
_atom_site_fract_x
_atom_site_fract_y
_atom_site_fract_z
Pa1 0.000 0.000 0.000
Pa2 0.000 0.180 0.000
Si1 0.000 0.087 0.500
Si2 0.000 0.274 0.500
Si3 0.000 0.412 0.000
Si4 0.000 0.500 0.500
Ni1 0.000 0.363 0.500
```

energy above the lowest structure with this stoichiometry: 33 kJ/mol of formula units
energy relative to the elements, uncorrected: -12.8 kcal/mol of atoms
electronic total energy: -7.06 eV/atom
total moment: 0.0 μB per cell

=====

[2]
Entry from Alexandria: crystalline SrLiZn2Ga at its relaxed geometry (PBE).

CIF file:
```
data_SrLiZn2Ga
_cell_length_a 4.495
_cell_length_b 4.495
_cell_length_c 10.547
_cell_angle_alpha 90.00
_cell_angle_beta 90.00
_cell_angle_gamma 90.00
_space_group_name_H-M_alt 'I -4 m 2'
_space_group_IT_number 119
_space_group_name_Hall 'I -4 -2'
loop_
_atom_site_label
_atom_site_fract_x
_atom_site_fract_y
_atom_site_fract_z
Sr1 0.000 0.000 0.000
Li1 0.000 0.500 0.250
Zn1 0.000 0.000 0.378
Ga1 0.000 0.500 0.750
```

energy of formation: -0.273 eV/atom
electronic total energy: -2.11 eV/atom
total moment: 0.0 μB per cell

=====

[3]
Entry from Alexandria: crystalline Mg2ScRh at its relaxed geometry (PBE).

CIF file:
```
data_Mg2ScRh
_cell_length_a 3.191
_cell_length_b 3.191
_cell_length_c 7.496
_cell_angle_alpha 90.00
_cell_angle_beta 90.00
_cell_angle_gamma 90.00
_space_group_name_H-M_alt 'P 4/m m m'
_space_group_IT_number 123
_space_group_name_Hall '-P 4 2'
loop_
_atom_site_label
_atom_site_fract_x
_atom_site_fract_y
_atom_site_fract_z
Mg1 0.000 0.000 0.197
Sc1 0.500 0.500 0.500
Rh1 0.500 0.500 0.000
```

energy of formation: -0.276 eV/atom
electronic total energy: -4.49 eV/atom
total moment: 0.4 μB per cell

=====

[4]
Entry from Alexandria: crystalline CaLaNdHo at its relaxed geometry (PBE).

CIF file:
```
data_CaLaNdHo
_cell_length_a 8.317
_cell_length_b 8.317
_cell_length_c 8.317
_cell_angle_alpha 90.00
_cell_angle_beta 90.00
_cell_angle_gamma 90.00
_space_group_name_H-M_alt 'F -4 3 m'
_space_group_IT_number 216
_space_group_name_Hall 'F -4 2 3'
loop_
_atom_site_label
_atom_site_fract_x
_atom_site_fract_y
_atom_site_fract_z
Ca1 0.000 0.000 0.000
La1 0.250 0.250 0.750
Nd1 0.250 0.250 0.250
Ho1 0.000 0.000 0.500
```

energy above the lowest structure with this stoichiometry: 24 kJ/mol of formula units
energy of formation: 0.110 eV/atom
electronic total energy: -3.96 eV/atom
total moment: 0.0 μB per cell